First-principles (PBE) data for a relaxed structure of Cs3Nd2HoSe6, as listed in Alexandria.

Output
- size of the total moment (μB/atom) = 0.0000
- uncorrected formation energy (eV per atom) = -1.724
- symmetry = C2/m, No. 12

Cell lengths 7.5397, 7.5397, 8.7672 Å; angles 98.25, 98.25, 120.00 degrees
Positions (direct):
Cs  0.0000  0.0000  0.0000
Cs  0.3315  0.6685  0.0000
Cs  0.6685  0.3315  0.0000
Nd  0.1665  0.8335  0.5000
Nd  0.8335  0.1665  0.5000
Ho  0.5000  0.5000  0.5000
Se  0.1128  0.4373  0.3117
Se  0.2386  0.2386  0.6891
Se  0.4373  0.1128  0.3117
Se  0.5627  0.8872  0.6883
Se  0.7614  0.7614  0.3109
Se  0.8872  0.5627  0.6883